Computed, not measured: an optimized crystal structure of FeMo3As at the PBE-GGA level of DFT.

The structure in extended XYZ format:
```
5
Lattice="4.4719 0.0000 0.0000 0.0000 4.4719 0.0000 0.0000 0.0000 4.4719" Properties=species:S:1:pos:R:3 pbc="T T T"
Fe 0.0000 0.0000 0.0000
Mo 0.0000 0.0000 2.2360
Mo 0.0000 2.2360 0.0000
Mo 2.2360 0.0000 0.0000
As 2.2360 2.2360 2.2360
```

Formation energy from the elements (meV per atom): 1149

=====

Computed, not measured: an optimized crystal structure of FeMo2As2 at the PBE-GGA level of DFT.

The structure in extended XYZ format:
```
10
Lattice="6.8822 0.0000 0.0000 0.0000 6.8822 0.0000 0.0000 0.0000 3.2535" Properties=species:S:1:pos:R:3 pbc="T T T"
Fe 0.0000 0.0000 0.0000
Fe 3.4411 3.4411 0.0000
Mo 1.0079 2.4332 1.6268
Mo 2.4332 5.8743 1.6268
Mo 4.4490 1.0079 1.6268
Mo 5.8743 4.4490 1.6268
As 1.0506 4.4917 0.0000
As 2.3905 1.0506 0.0000
As 4.4917 5.8316 0.0000
As 5.8316 2.3905 0.0000
```

Formation energy from the elements (meV per atom): 156

=====

Computed, not measured: an optimized crystal structure of FeMoAsPt2 at the PBE-GGA level of DFT.

The structure in extended XYZ format:
```
5
Lattice="4.5977 0.0000 0.0000 0.0000 4.5977 0.0000 0.0000 0.0000 4.6414" Properties=species:S:1:pos:R:3 pbc="T T T"
Fe 0.0000 0.0000 0.0000
Mo 2.2988 2.2988 0.0000
As 2.2988 2.2988 2.3207
Pt 0.0000 2.2988 2.3207
Pt 2.2988 0.0000 2.3207
```

Formation energy from the elements (meV per atom): 923

=====

Computed, not measured: an optimized crystal structure of FeRe2MoAs at the PBE-GGA level of DFT.

The structure in extended XYZ format:
```
5
Lattice="4.5170 0.0000 0.0000 0.0000 4.5170 0.0000 0.0000 0.0000 4.1717" Properties=species:S:1:pos:R:3 pbc="T T T"
Fe 0.0000 0.0000 0.0000
Re 0.0000 2.2585 2.0859
Re 2.2585 0.0000 2.0859
Mo 2.2585 2.2585 0.0000
As 0.0000 0.0000 2.0859
```

Formation energy from the elements (meV per atom): 1467

=====

Computed, not measured: an optimized crystal structure of FeMoAsRu at the PBE-GGA level of DFT.

The structure in extended XYZ format:
```
4
Lattice="0.0000 3.0327 3.0327 3.0327 0.0000 3.0327 3.0327 3.0327 0.0000" Properties=species:S:1:pos:R:3 pbc="T T T"
Fe 0.0000 0.0000 0.0000
Mo 1.5164 1.5164 1.5164
As 3.0327 3.0327 3.0327
Ru 4.5491 4.5491 4.5491
```

Formation energy from the elements (meV per atom): 31

=====

Computed, not measured: an optimized crystal structure of FeMoAs2Se at the PBE-GGA level of DFT.

The structure in extended XYZ format:
```
5
Lattice="4.3952 0.0000 0.0000 0.0000 4.3952 0.0000 0.0000 0.0000 5.1409" Properties=species:S:1:pos:R:3 pbc="T T T"
Fe 0.0000 0.0000 0.0000
Mo 2.1976 2.1976 2.5705
As 0.0000 2.1976 0.0000
As 2.1976 0.0000 0.0000
Se 0.0000 0.0000 2.5705
```

Energy relative to the elements, uncorrected (kJ/mol of atoms): 75

=====

Computed, not measured: an optimized crystal structure of FeMoAsSe2 at the PBE-GGA level of DFT.

The structure in extended XYZ format:
```
5
Lattice="4.8950 0.0000 0.0000 0.0000 4.8950 0.0000 0.0000 0.0000 4.9543" Properties=species:S:1:pos:R:3 pbc="T T T"
Fe 0.0000 0.0000 0.0000
Mo 2.4475 2.4475 2.4771
As 2.4475 2.4475 0.0000
Se 0.0000 2.4475 2.4771
Se 2.4475 0.0000 2.4771
```

Energy relative to the elements, uncorrected (kJ/mol of atoms): 74

=====

Computed, not measured: an optimized crystal structure of FeMoAs2Se at the PBE-GGA level of DFT.

The structure in extended XYZ format:
```
5
Lattice="4.8844 0.0000 0.0000 0.0000 4.8844 0.0000 0.0000 0.0000 4.9055" Properties=species:S:1:pos:R:3 pbc="T T T"
Fe 0.0000 0.0000 0.0000
Mo 2.4422 2.4422 2.4528
As 0.0000 2.4422 2.4528
As 2.4422 0.0000 2.4528
Se 2.4422 2.4422 0.0000
```

Energy relative to the elements, uncorrected (kJ/mol of atoms): 81

=====

What is the formula in the eighth record? FeMoAs2Se